## NaMn2AlPd (PBE-GGA)

Data for NaMn2AlPd after structural relaxation.

a b c (Å): 4.898 4.898 5.086
angles (deg): 90.00 90.00 90.00
Sites, in units of the cell vectors:
Na  0.000  0.000  0.000
Mn  0.000  0.500  0.500
Mn  0.500  0.000  0.500
Al  0.500  0.500  0.000
Pd  0.000  0.000  0.500

density of states at the Fermi level = 0.621 states/eV per atom
SG = P4/mmm, No. 123
formation energy = 773 meV per atom